This record from Alexandria via LeMat-Bulk describes Ca3TbMg8 after structural relaxation. The functional is GGA-PBE.

Geometry as POSCAR:
```
Ca3TbMg8
1.0
3.0870 1.7823 10.0484
-3.0870 1.7823 10.0484
0.0000 -3.5646 10.0484
Ca Tb Mg
3 1 8
direct
0.0000 0.0000 0.0000
0.1263 0.1263 0.1263
0.6239 0.6239 0.6239
0.5004 0.5004 0.5004
0.0614 0.0614 0.5614
0.0614 0.5614 0.0614
0.0658 0.5628 0.5628
0.3125 0.3125 0.3125
0.5614 0.0614 0.0614
0.5628 0.0658 0.5628
0.5628 0.5628 0.0658
0.8129 0.8129 0.8129
```

Computed properties:
Volume in Å³/cell: 332
Uncorrected energy in eV/cell: -24.61

---

This record from Alexandria via LeMat-Bulk describes CaTbMg17 after structural relaxation. The functional is GGA-PBE.

Geometry as POSCAR:
```
CaTbMg17
1.0
5.1520 2.9745 5.0864
-5.1520 2.9745 5.0864
0.0000 -5.9490 5.0864
Ca Tb Mg
1 1 17
direct
0.0000 0.0000 0.0000
0.6647 0.6647 0.6647
0.0325 0.3366 0.6363
0.0325 0.6363 0.3366
0.1768 0.6869 0.6869
0.2352 0.2352 0.2352
0.3366 0.0325 0.6363
0.3366 0.6363 0.0325
0.3384 0.3384 0.8322
0.3384 0.8322 0.3384
0.4357 0.4357 0.4357
0.4949 0.9815 0.9815
0.6363 0.0325 0.3366
0.6363 0.3366 0.0325
0.6869 0.1768 0.6869
0.6869 0.6869 0.1768
0.8322 0.3384 0.3384
0.9815 0.4949 0.9815
0.9815 0.9815 0.4949
```

Computed properties:
Volume in Å³/cell: 468
Uncorrected energy in eV/cell: -34.20

---

This record from Alexandria via LeMat-Bulk describes CaTb2Mg after structural relaxation. The functional is GGA-PBE.

Geometry as POSCAR:
```
CaTb2Mg
1.0
3.7901 0.0000 0.0000
0.0000 3.7901 0.0000
0.0000 0.0000 8.9370
Ca Tb Mg
1 2 1
direct
0.0000 0.0000 0.0000
0.5000 0.5000 0.2979
0.5000 0.5000 0.7021
0.0000 0.0000 0.5000
```

Computed properties:
Relative energy among the computed polymorphs in meV per atom: 0
Volume in Å³/cell: 128